This record from the Alexandria database describes AlCoHg2 after structural relaxation. The functional is PBE-GGA.

Cell and atoms, written as CIF:
```
data_AlCoHg2
_space_group_name_H-M_alt 'C 1 2/m 1'
_space_group_IT_number 12
_space_group_name_Hall '-C 2y'
_cell_length_a 5.651
_cell_length_b 9.557
_cell_length_c 3.182
_cell_angle_alpha 90.00
_cell_angle_beta 120.30
_cell_angle_gamma 90.00
loop_
_atom_site_label
_atom_site_type_symbol
_atom_site_fract_x
_atom_site_fract_y
_atom_site_fract_z
Al1 Al 0.000 0.000 0.000
Co1 Co 0.000 0.500 0.000
Hg1 Hg 0.250 0.250 0.000
```

Results
- Mass density: 10.90 g/cm3
- Crystal system: monoclinic
- Final energy: -2.48 eV/atom
- Fermi-level density of states: 9.636 states/eV per cell


This record from the Alexandria database describes KAl2CoHg after structural relaxation. The functional is PBE-GGA.

Cell and atoms, written as CIF:
```
data_KAl2CoHg
_space_group_name_H-M_alt 'P 4/m m m'
_space_group_IT_number 123
_space_group_name_Hall '-P 4 2'
_cell_length_a 5.745
_cell_length_b 5.745
_cell_length_c 4.470
_cell_angle_alpha 90.00
_cell_angle_beta 90.00
_cell_angle_gamma 90.00
loop_
_atom_site_label
_atom_site_type_symbol
_atom_site_fract_x
_atom_site_fract_y
_atom_site_fract_z
K1 K 0.000 0.000 0.000
Al1 Al 0.000 0.500 0.000
Co1 Co 0.000 0.000 0.500
Hg1 Hg 0.500 0.500 0.500
```

Results
- Mass density: 3.97 g/cm3
- Crystal system: tetragonal
- Final energy: -1.42 eV/atom
- Fermi-level density of states: 4.268 states/eV per cell


This record from the Alexandria database describes Pm3Al3CoHg2 after structural relaxation. The functional is PBE-GGA.

Cell and atoms, written as CIF:
```
data_Pm3Al3CoHg2
_space_group_name_H-M_alt 'P -6 2 m'
_space_group_IT_number 189
_space_group_name_Hall 'P -6 -2'
_cell_length_a 7.4148
_cell_length_b 7.4148
_cell_length_c 4.2667
_cell_angle_alpha 90.00
_cell_angle_beta 90.00
_cell_angle_gamma 120.00
loop_
_atom_site_label
_atom_site_type_symbol
_atom_site_fract_x
_atom_site_fract_y
_atom_site_fract_z
Pm1 Pm 0.0000 0.6161 0.0000
Al1 Al 0.0000 0.2133 0.5000
Co1 Co 0.0000 0.0000 0.0000
Hg1 Hg 0.3333 0.6667 0.5000
```

Results
- Mass density: 7.98 g/cm3
- Crystal system: hexagonal
- Final energy: -4.13 eV/atom
- Fermi-level density of states: 10.142 states/eV per cell


This record from the Alexandria database describes AlCoHgSe2 after structural relaxation. The functional is PBE-GGA.

Cell and atoms, written as CIF:
```
data_AlCoHgSe2
_space_group_name_H-M_alt 'P 4/m m m'
_space_group_IT_number 123
_space_group_name_Hall '-P 4 2'
_cell_length_a 4.722
_cell_length_b 4.722
_cell_length_c 5.005
_cell_angle_alpha 90.00
_cell_angle_beta 90.00
_cell_angle_gamma 90.00
loop_
_atom_site_label
_atom_site_type_symbol
_atom_site_fract_x
_atom_site_fract_y
_atom_site_fract_z
Al1 Al 0.000 0.000 0.000
Co1 Co 0.500 0.500 0.500
Hg1 Hg 0.500 0.500 0.000
Se1 Se 0.000 0.500 0.500
```

Results
- Mass density: 6.61 g/cm3
- Crystal system: tetragonal
- Final energy: -3.33 eV/atom
- ΔE_f (raw): 0.30 eV per atom
- Fermi-level density of states: 5.485 states/eV per cell


This record from the Alexandria database describes AlCoSiHg2 after structural relaxation. The functional is PBE-GGA.

Cell and atoms, written as CIF:
```
data_AlCoSiHg2
_space_group_name_H-M_alt 'P 4/m m m'
_space_group_IT_number 123
_space_group_name_Hall '-P 4 2'
_cell_length_a 4.960
_cell_length_b 4.960
_cell_length_c 4.460
_cell_angle_alpha 90.00
_cell_angle_beta 90.00
_cell_angle_gamma 90.00
loop_
_atom_site_label
_atom_site_type_symbol
_atom_site_fract_x
_atom_site_fract_y
_atom_site_fract_z
Al1 Al 0.000 0.000 0.000
Co1 Co 0.000 0.000 0.500
Si1 Si 0.500 0.500 0.000
Hg1 Hg 0.000 0.500 0.500
```

Results
- Mass density: 7.80 g/cm3
- Crystal system: tetragonal
- Final energy: -2.72 eV/atom
- ΔE_f (raw): 0.66 eV per atom
- Fermi-level density of states: 4.452 states/eV per cell


This record from the Alexandria database describes Sm3Al3CoHg2 after structural relaxation. The functional is PBE-GGA.

Cell and atoms, written as CIF:
```
data_Sm3Al3CoHg2
_space_group_name_H-M_alt 'P -6 2 m'
_space_group_IT_number 189
_space_group_name_Hall 'P -6 -2'
_cell_length_a 7.3878
_cell_length_b 7.3878
_cell_length_c 4.2437
_cell_angle_alpha 90.00
_cell_angle_beta 90.00
_cell_angle_gamma 120.00
loop_
_atom_site_label
_atom_site_type_symbol
_atom_site_fract_x
_atom_site_fract_y
_atom_site_fract_z
Sm1 Sm 0.0000 0.3841 0.0000
Al1 Al 0.0000 0.7859 0.5000
Co1 Co 0.0000 0.0000 0.0000
Hg1 Hg 0.3333 0.6667 0.5000
```

Results
- Mass density: 8.21 g/cm3
- Crystal system: hexagonal
- Final energy: -4.13 eV/atom
- Fermi-level density of states: 10.029 states/eV per cell


This record from the Alexandria database describes TaAlCo2Hg after structural relaxation. The functional is PBE-GGA.

Cell and atoms, written as CIF:
```
data_TaAlCo2Hg
_space_group_name_H-M_alt 'P 4/m m m'
_space_group_IT_number 123
_space_group_name_Hall '-P 4 2'
_cell_length_a 4.670
_cell_length_b 4.670
_cell_length_c 5.109
_cell_angle_alpha 90.00
_cell_angle_beta 90.00
_cell_angle_gamma 90.00
loop_
_atom_site_label
_atom_site_type_symbol
_atom_site_fract_x
_atom_site_fract_y
_atom_site_fract_z
Ta1 Ta 0.000 0.000 0.000
Al1 Al 0.500 0.500 0.000
Co1 Co 0.000 0.500 0.500
Hg1 Hg 0.000 0.000 0.500
```

Results
- Mass density: 7.84 g/cm3
- Crystal system: tetragonal
- Final energy: -4.26 eV/atom
- Fermi-level density of states: 8.257 states/eV per cell


This record from the Alexandria database describes Tb3Al3CoHg2 after structural relaxation. The functional is PBE-GGA.

Cell and atoms, written as CIF:
```
data_Tb3Al3CoHg2
_space_group_name_H-M_alt 'P -6 2 m'
_space_group_IT_number 189
_space_group_name_Hall 'P -6 -2'
_cell_length_a 7.3051
_cell_length_b 7.3051
_cell_length_c 4.1714
_cell_angle_alpha 90.00
_cell_angle_beta 90.00
_cell_angle_gamma 120.00
loop_
_atom_site_label
_atom_site_type_symbol
_atom_site_fract_x
_atom_site_fract_y
_atom_site_fract_z
Tb1 Tb 0.0000 0.3843 0.0000
Al1 Al 0.0000 0.7833 0.5000
Co1 Co 0.0000 0.0000 0.0000
Hg1 Hg 0.3333 0.6667 0.5000
```

Results
- Mass density: 8.77 g/cm3
- Crystal system: hexagonal
- Final energy: -4.13 eV/atom
- Fermi-level density of states: 8.993 states/eV per cell